Below is Y2AsBr after structural relaxation, with properties calculated at the PBE level.

Output
Formation energy (no corrections) = -114.48 kJ/mol of atoms
DOS at the Fermi energy = 0.62 states/eV per atom
Total moment = 1.6 μB/f.u.
Symmetry = Imm2 (44)

abc: 7.3230 7.3230 7.3230
angles: 149.35 148.77 44.32
Closest atoms and distances in Å follow each position.
Fractional coordinates of all 4 atoms:
Y 0.0000 0.0000 0.0000  2 As 2.85, 4 Br 3.06
Y 0.7260 0.2260 0.5000  4 As 2.93, 2 Br 3.11
As 0.1542 0.6542 0.5000  6 Y 2.85-2.93
Br 0.4032 0.4032 0.0000  6 Y 3.06-3.11

Below is In2ReIr after structural relaxation, with properties calculated at the PBE level.

Output
DOS at the Fermi energy = 0.52 states/eV per atom
Total moment = 0.0 μB/f.u.
Symmetry = P4mm (99)
Energy of formation from the pure elements = 0.17 eV/atom

abc: 2.9199 2.9199 8.8028
angles: 90.00 90.00 90.00
Closest atoms and distances in Å follow each position.
Fractional coordinates of all 4 atoms:
In 0.0000 0.0000 0.0000  4 In 2.92, 4 Re 2.97
In 0.5000 0.5000 0.3266  4 In 2.92, 4 Ir 2.97
Re 0.5000 0.5000 0.7578  4 Ir 2.65, 4 Re 2.92
Ir 0.0000 0.0000 0.5697  4 Re 2.65, 4 Ir 2.92